1.
The following is a PBE calculation of an optimized crystal structure of La2MgOs2, from Alexandria via LeMat-Bulk.

Summary:
ΔE to the lowest computed polymorph = 0.128 eV per atom
Electronic total energy = -67.1 eV for the cell shown
Energy of formation from the pure elements = 0.07 eV/atom

```
data_La2MgOs2
_chemical_formula_sum 'La4 Mg2 Os4'
_symmetry_space_group_name_H-M 'P 4/m b m'
_symmetry_Int_Tables_number 127
_symmetry_space_group_name_Hall '-P 4 2ab'
_cell_length_a 7.349
_cell_length_b 7.349
_cell_length_c 4.490
_cell_angle_alpha 90.00
_cell_angle_beta 90.00
_cell_angle_gamma 90.00
loop_
_atom_site_label
_atom_site_type_symbol
_atom_site_fract_x
_atom_site_fract_y
_atom_site_fract_z
La1 La 0.180 0.320 0.000
Mg1 Mg 0.000 0.000 0.500
Os1 Os 0.116 0.616 0.500
```


2.
The following is a PBE calculation of an optimized crystal structure of Zn2HgW, from Alexandria via LeMat-Bulk.

Summary:
Electronic total energy = -14.0 eV for the cell shown
Energy of formation from the pure elements = 0.45 eV/atom

```
data_Zn2HgW
_chemical_formula_sum 'Zn2 Hg1 W1'
_symmetry_space_group_name_H-M 'P 1 m 1'
_symmetry_Int_Tables_number 6
_cell_length_a 2.823
_cell_length_b 4.367
_cell_length_c 5.536
_cell_angle_alpha 90.00
_cell_angle_beta 104.63
_cell_angle_gamma 90.00
loop_
_symmetry_equiv_pos_as_xyz
'x,y,z'
'x,-y,z'
loop_
_atom_site_label
_atom_site_type_symbol
_atom_site_fract_x
_atom_site_fract_y
_atom_site_fract_z
Zn1 Zn 0.000 0.000 0.000
Zn2 Zn 0.134 0.500 0.272
Hg1 Hg 0.755 0.000 0.508
W1 W 0.407 0.500 0.812
```


3.
The following is a PBE calculation of an optimized crystal structure of WAuBr2, from Alexandria via LeMat-Bulk.

Summary:
ΔE to the lowest computed polymorph = 0.300 eV per atom
Electronic total energy = -35.0 eV for the cell shown
Energy relative to the elements, uncorrected = 0.517 eV per atom

```
data_WAuBr2
_chemical_formula_sum 'W2 Au2 Br4'
_symmetry_space_group_name_H-M 'C m m 2'
_symmetry_Int_Tables_number 35
_cell_length_a 3.001
_cell_length_b 5.896
_cell_length_c 10.438
_cell_angle_alpha 90.00
_cell_angle_beta 90.00
_cell_angle_gamma 90.00
loop_
_symmetry_equiv_pos_as_xyz
'x,y,z'
'-x,-y,z'
'-x,y,z'
'x,-y,z'
'x+1/2,y+1/2,z'
'-x+1/2,-y+1/2,z'
'-x+1/2,y+1/2,z'
'x+1/2,-y+1/2,z'
loop_
_atom_site_label
_atom_site_type_symbol
_atom_site_fract_x
_atom_site_fract_y
_atom_site_fract_z
W1 W 0.000 0.000 0.000
Au1 Au 0.000 0.500 0.784
Br1 Br 0.000 0.000 0.554
Br2 Br 0.000 0.500 0.199
```


4.
The following is a PBE calculation of an optimized crystal structure of TmP2W, from Alexandria via LeMat-Bulk.

Summary:
Electronic total energy = -80.5 eV for the cell shown
Energy of formation from the pure elements = 0.36 eV/atom

```
data_TmP2W
_chemical_formula_sum 'Tm3 P6 W3'
_symmetry_space_group_name_H-M 'R -3 m'
_symmetry_Int_Tables_number 166
_symmetry_space_group_name_Hall '-R 3 2"'
_cell_length_a 2.9539
_cell_length_b 2.9539
_cell_length_c 28.3618
_cell_angle_alpha 90.00
_cell_angle_beta 90.00
_cell_angle_gamma 120.00
loop_
_atom_site_label
_atom_site_type_symbol
_atom_site_fract_x
_atom_site_fract_y
_atom_site_fract_z
Tm1 Tm 0.0000 0.0000 0.0000
P1 P 0.0000 0.0000 0.4129
W1 W 0.0000 0.0000 0.5000
```


5.
The following is a PBE calculation of an optimized crystal structure of LiCdTc2, from Alexandria via LeMat-Bulk.

Summary:
Electronic total energy = -45.0 eV for the cell shown
Energy of formation from the pure elements = 0.27 eV/atom

```
data_LiCdTc2
_chemical_formula_sum 'Li2 Cd2 Tc4'
_symmetry_space_group_name_H-M 'I -4 m 2'
_symmetry_Int_Tables_number 119
_symmetry_space_group_name_Hall 'I -4 -2'
_cell_length_a 4.397
_cell_length_b 4.397
_cell_length_c 6.290
_cell_angle_alpha 90.00
_cell_angle_beta 90.00
_cell_angle_gamma 90.00
loop_
_atom_site_label
_atom_site_type_symbol
_atom_site_fract_x
_atom_site_fract_y
_atom_site_fract_z
Li1 Li 0.000 0.000 0.000
Cd1 Cd 0.000 0.500 0.250
Tc1 Tc 0.000 0.000 0.500
Tc2 Tc 0.000 0.500 0.750
```


6.
The following is a PBE calculation of an optimized crystal structure of LiIrCl2, from Alexandria via LeMat-Bulk.

Summary:
ΔE to the lowest computed polymorph = 1.137 eV per atom
Electronic total energy = -47.4 eV for the cell shown
Energy relative to the elements, uncorrected = 0.657 eV per atom

```
data_LiIrCl2
_chemical_formula_sum 'Li4 Ir4 Cl8'
_symmetry_space_group_name_H-M 'F -4 3 m'
_symmetry_Int_Tables_number 216
_symmetry_space_group_name_Hall 'F -4 2 3'
_cell_length_a 6.586
_cell_length_b 6.586
_cell_length_c 6.586
_cell_angle_alpha 90.00
_cell_angle_beta 90.00
_cell_angle_gamma 90.00
loop_
_atom_site_label
_atom_site_type_symbol
_atom_site_fract_x
_atom_site_fract_y
_atom_site_fract_z
Li1 Li 0.000 0.000 0.000
Ir1 Ir 0.250 0.250 0.750
Cl1 Cl 0.000 0.000 0.500
Cl2 Cl 0.250 0.250 0.250
```


7.
The following is a PBE calculation of an optimized crystal structure of KGeBr2Cl, from Alexandria via LeMat-Bulk.

Summary:
ΔE to the lowest computed polymorph = 0.000 eV per atom
Electronic total energy = -66.0 eV for the cell shown
Energy relative to the elements, uncorrected = -1.118 eV per atom

```
data_KGeBr2Cl
_chemical_formula_sum 'K4 Ge4 Br8 Cl4'
_symmetry_space_group_name_H-M 'I 4 c m'
_symmetry_Int_Tables_number 108
_symmetry_space_group_name_Hall 'I 4 -2c'
_cell_length_a 7.753
_cell_length_b 7.753
_cell_length_c 10.938
_cell_angle_alpha 90.00
_cell_angle_beta 90.00
_cell_angle_gamma 90.00
loop_
_atom_site_label
_atom_site_type_symbol
_atom_site_fract_x
_atom_site_fract_y
_atom_site_fract_z
K1 K 0.000 0.500 0.000
Ge1 Ge 0.000 0.000 0.235
Br1 Br 0.191 0.309 0.250
Cl1 Cl 0.000 0.000 0.018
```


8.
The following is a PBE calculation of an optimized crystal structure of CeHoEr4, from Alexandria via LeMat-Bulk.

Summary:
ΔE to the lowest computed polymorph = 0.259 eV per atom
Electronic total energy = -108.3 eV for the cell shown
Energy of formation from the pure elements = 0.28 eV/atom

```
data_CeHoEr4
_chemical_formula_sum 'Ce4 Ho4 Er16'
_symmetry_space_group_name_H-M 'I m m a'
_symmetry_Int_Tables_number 74
_symmetry_space_group_name_Hall '-I 2b 2'
_cell_length_a 6.579
_cell_length_b 11.396
_cell_length_c 10.008
_cell_angle_alpha 90.00
_cell_angle_beta 90.00
_cell_angle_gamma 90.00
loop_
_atom_site_label
_atom_site_type_symbol
_atom_site_fract_x
_atom_site_fract_y
_atom_site_fract_z
Ce1 Ce 0.000 0.000 0.000
Ho1 Ho 0.250 0.250 0.250
Er1 Er 0.000 0.001 0.666
Er2 Er 0.250 0.250 0.584
```


9.
The following is a PBE calculation of an optimized crystal structure of CsPr3Nd2Te6, from Alexandria via LeMat-Bulk.

Summary:
Electronic total energy = -119.6 eV for the cell shown
Energy relative to the elements, uncorrected = -1.352 eV per atom

```
data_CsPr3Nd2Te6
_chemical_formula_sum 'Cs2 Pr6 Nd4 Te12'
_symmetry_space_group_name_H-M 'C 1 2/m 1'
_symmetry_Int_Tables_number 12
_cell_length_a 20.194
_cell_length_b 4.540
_cell_length_c 9.492
_cell_angle_alpha 90.00
_cell_angle_beta 103.64
_cell_angle_gamma 90.00
loop_
_symmetry_equiv_pos_as_xyz
'x,y,z'
'-x,-y,-z'
'-x,y,-z'
'x,-y,z'
'x+1/2,y+1/2,z'
'-x+1/2,-y+1/2,-z'
'-x+1/2,y+1/2,-z'
'x+1/2,-y+1/2,z'
loop_
_atom_site_label
_atom_site_type_symbol
_atom_site_fract_x
_atom_site_fract_y
_atom_site_fract_z
Cs1 Cs 0.000 0.000 0.000
Pr1 Pr 0.000 0.000 0.500
Pr2 Pr 0.160 0.500 0.818
Nd1 Nd 0.171 0.500 0.346
Te1 Te 0.006 0.500 0.276
Te2 Te 0.166 0.000 0.582
Te3 Te 0.178 0.000 0.090
```


10.
The following is a PBE calculation of an optimized crystal structure of Tm8Cd2Pt, from Alexandria via LeMat-Bulk.

Summary:
Electronic total energy = -94.3 eV for the cell shown
Energy of formation from the pure elements = -0.32 eV/atom

```
data_Tm8Cd2Pt
_chemical_formula_sum 'Tm16 Cd4 Pt2'
_symmetry_space_group_name_H-M 'C 1 2/m 1'
_symmetry_Int_Tables_number 12
_cell_length_a 17.567
_cell_length_b 5.208
_cell_length_c 6.839
_cell_angle_alpha 90.00
_cell_angle_beta 108.75
_cell_angle_gamma 90.00
loop_
_symmetry_equiv_pos_as_xyz
'x,y,z'
'-x,-y,-z'
'-x,y,-z'
'x,-y,z'
'x+1/2,y+1/2,z'
'-x+1/2,-y+1/2,-z'
'-x+1/2,y+1/2,-z'
'x+1/2,-y+1/2,z'
loop_
_atom_site_label
_atom_site_type_symbol
_atom_site_fract_x
_atom_site_fract_y
_atom_site_fract_z
Tm1 Tm 0.021 0.000 0.281
Tm2 Tm 0.091 0.500 0.932
Tm3 Tm 0.154 0.500 0.459
Tm4 Tm 0.201 0.000 0.799
Cd1 Cd 0.183 0.000 0.214
Pt1 Pt 0.000 0.500 0.500
```


11.
The following is a PBE calculation of an optimized crystal structure of ZnPtAu, from Alexandria via LeMat-Bulk.

Summary:
ΔE to the lowest computed polymorph = 0.000 eV per atom
Electronic total energy = -46.0 eV for the cell shown
Energy of formation from the pure elements = -0.31 eV/atom

```
data_ZnPtAu
_chemical_formula_sum 'Zn4 Pt4 Au4'
_symmetry_space_group_name_H-M 'A m m 2'
_symmetry_Int_Tables_number 38
_cell_length_a 3.831
_cell_length_b 4.116
_cell_length_c 12.091
_cell_angle_alpha 90.00
_cell_angle_beta 90.00
_cell_angle_gamma 90.00
loop_
_symmetry_equiv_pos_as_xyz
'x,y,z'
'-x,-y,z'
'-x,y,z'
'x,-y,z'
'x,y+1/2,z+1/2'
'-x,-y+1/2,z+1/2'
'-x,y+1/2,z+1/2'
'x,-y+1/2,z+1/2'
loop_
_atom_site_label
_atom_site_type_symbol
_atom_site_fract_x
_atom_site_fract_y
_atom_site_fract_z
Zn1 Zn 0.000 0.000 0.000
Zn2 Zn 0.000 0.000 0.323
Pt1 Pt 0.500 0.000 0.158
Pt2 Pt 0.500 0.000 0.485
Au1 Au 0.000 0.000 0.656
Au2 Au 0.500 0.000 0.830
```


12.
The following is a PBE calculation of an optimized crystal structure of Pb2CCl, from Alexandria via LeMat-Bulk.

Summary:
ΔE to the lowest computed polymorph = 0.385 eV per atom
Electronic total energy = -58.4 eV for the cell shown
Energy relative to the elements, uncorrected = 0.973 eV per atom

```
data_Pb2CCl
_chemical_formula_sum 'Pb8 C4 Cl4'
_symmetry_space_group_name_H-M 'F m -3 m'
_symmetry_Int_Tables_number 225
_symmetry_space_group_name_Hall '-F 4 2 3'
_cell_length_a 7.051
_cell_length_b 7.051
_cell_length_c 7.051
_cell_angle_alpha 90.00
_cell_angle_beta 90.00
_cell_angle_gamma 90.00
loop_
_atom_site_label
_atom_site_type_symbol
_atom_site_fract_x
_atom_site_fract_y
_atom_site_fract_z
Pb1 Pb 0.250 0.250 0.250
C1 C 0.000 0.000 0.000
Cl1 Cl 0.000 0.000 0.500
```


Q: Look up the electronic total energy of the sixth one.
A: -47.4 eV for the cell shown


Q: Which of these has the lowest electronic total energy?
A: CsPr3Nd2Te6


Q: What is the electronic total energy in the third record?
A: -35.0 eV for the cell shown


Q: electronic total energy of number 11 (ZnPtAu)?
A: -46.0 eV for the cell shown